Entry 1:
First-principles (PBE) data for a geometry-optimized TmPuPdAu structure, as listed in Alexandria via LeMat-Bulk.

Properties
As for the total magnetization: 5.672 μB/f.u. The calculation puts the density of states at the Fermi level at 12.72 states/eV per cell. Its energy of formation is -599 meV/atom.

a = 5.0265 Å, b = 5.0265 Å, c = 5.0265 Å
α = 60.00°, β = 60.00°, γ = 60.00°
Last column: nearest neighbours and their distance in Å.
Element x y z (fractional)
Tm 0.0000 0.0000 0.0000  4 Pd 3.08, 4 Au 3.08
Au 0.7500 0.7500 0.7500  4 Tm 3.08, 4 Pu 3.08
Pd 0.2500 0.2500 0.2500  4 Tm 3.08, 4 Pu 3.08
Pu 0.5000 0.5000 0.5000  4 Pd 3.08, 4 Au 3.08

=====

Entry 2:
First-principles (PBE) data for a geometry-optimized PuUPdAu structure, as listed in Alexandria via LeMat-Bulk.

Properties
As for the total magnetization: 7.081 μB/f.u. The calculation puts the energy above the most stable polymorph in this dataset at 0 meV/atom. The calculation puts the density of states at the Fermi level at 6.01 states/eV per cell. Its energy of formation is -383 meV/atom.

a = 4.8078 Å, b = 4.8078 Å, c = 4.8078 Å
α = 60.00°, β = 60.00°, γ = 60.00°
Last column: nearest neighbours and their distance in Å.
Element x y z (fractional)
Au 0.7500 0.7500 0.7500  4 Pd 2.94, 4 Pu 2.94
U 0.2500 0.2500 0.2500  4 Pu 2.94, 4 Pd 2.94
Pd 0.0000 0.0000 0.0000  4 U 2.94, 4 Au 2.94
Pu 0.5000 0.5000 0.5000  4 Au 2.94, 4 U 2.94

=====

Entry 3:
First-principles (PBE) data for a geometry-optimized PuUPdAu structure, as listed in Alexandria via LeMat-Bulk.

Properties
As for the total magnetization: 7.075 μB/f.u. The calculation puts the energy above the most stable polymorph in this dataset at 10 meV/atom. The calculation puts the density of states at the Fermi level at 5.53 states/eV per cell. Its energy of formation is -374 meV/atom.

a = 4.8103 Å, b = 4.8103 Å, c = 4.8103 Å
α = 60.00°, β = 60.00°, γ = 60.00°
Last column: nearest neighbours and their distance in Å.
Element x y z (fractional)
Pu 0.2500 0.2500 0.2500  4 U 2.95, 4 Pd 2.95
U 0.5000 0.5000 0.5000  4 Pu 2.95, 4 Au 2.95
Pd 0.0000 0.0000 0.0000  4 Au 2.95, 4 Pu 2.95
Au 0.7500 0.7500 0.7500  4 U 2.95, 4 Pd 2.95

=====

Entry 4:
First-principles (PBE) data for a geometry-optimized YPuPdAu structure, as listed in Alexandria via LeMat-Bulk.

Properties
As for the total magnetization: 5.720 μB/f.u. The calculation puts the density of states at the Fermi level at 12.88 states/eV per cell. Its energy of formation is -580 meV/atom.

a = 5.0648 Å, b = 5.0648 Å, c = 5.0648 Å
α = 60.00°, β = 60.00°, γ = 60.00°
Last column: nearest neighbours and their distance in Å.
Element x y z (fractional)
Y 0.5000 0.5000 0.5000  4 Au 3.10, 4 Pd 3.10
Au 0.2500 0.2500 0.2500  4 Pu 3.10, 4 Y 3.10
Pd 0.7500 0.7500 0.7500  4 Y 3.10, 4 Pu 3.10
Pu 0.0000 0.0000 0.0000  4 Pd 3.10, 4 Au 3.10

=====

Entry 5:
First-principles (PBE) data for a geometry-optimized Pu2Zn3PdAu12 structure, as listed in Alexandria via LeMat-Bulk.

Properties
As for the total magnetization: 11.469 μB/f.u. The calculation puts the density of states at the Fermi level at 28.65 states/eV per cell. Its energy of formation is -150 meV/atom.

a = 13.6752 Å, b = 13.6752 Å, c = 13.6752 Å
α = 23.93°, β = 23.93°, γ = 23.93°
Last column: nearest neighbours and their distance in Å.
Element x y z (fractional)
Pu 0.6496 0.6496 0.6496  9 Au 3.22-3.31, 3 Pd 3.34, 3 Pu 3.55
Pu 0.3504 0.3504 0.3504  9 Au 3.22-3.31, 3 Pd 3.34, 3 Pu 3.55
Zn 0.5000 0.0000 0.0000  4 Au 2.63, 4 Zn 2.83
Zn 0.0000 0.5000 0.0000  4 Au 2.63, 4 Zn 2.83
Zn 0.0000 0.0000 0.5000  4 Au 2.63, 4 Zn 2.83
Pd 0.0000 0.0000 0.0000  6 Au 2.75
Au 0.3887 0.3887 0.8765  2 Zn 2.63, 6 Au 2.77-2.91
Au 0.8881 0.8881 0.3897  1 Pd 2.75, 6 Au 2.83-2.91
Au 0.3897 0.8881 0.8881  1 Pd 2.75, 6 Au 2.83-2.91
Au 0.8765 0.3887 0.3887  2 Zn 2.63, 6 Au 2.77-2.91
Au 0.8881 0.3897 0.8881  1 Pd 2.75, 6 Au 2.83-2.91
Au 0.3887 0.8765 0.3887  2 Zn 2.63, 6 Au 2.77-2.91
Au 0.6113 0.6113 0.1235  2 Zn 2.63, 6 Au 2.77-2.91
Au 0.1119 0.1119 0.6103  1 Pd 2.75, 6 Au 2.83-2.91
Au 0.6103 0.1119 0.1119  1 Pd 2.75, 6 Au 2.83-2.91
Au 0.1235 0.6113 0.6113  2 Zn 2.63, 6 Au 2.77-2.91
Au 0.1119 0.6103 0.1119  1 Pd 2.75, 6 Au 2.83-2.91
Au 0.6113 0.1235 0.6113  2 Zn 2.63, 6 Au 2.77-2.91

=====

Entry 6:
First-principles (PBE) data for a geometry-optimized PuZnPdAu structure, as listed in Alexandria via LeMat-Bulk.

Properties
As for the total magnetization: 5.402 μB/f.u. The calculation puts the energy above the most stable polymorph in this dataset at 73 meV/atom. The calculation puts the density of states at the Fermi level at 12.10 states/eV per cell. Its energy of formation is -333 meV/atom.

a = 4.8287 Å, b = 4.8287 Å, c = 4.8287 Å
α = 60.00°, β = 60.00°, γ = 60.00°
Last column: nearest neighbours and their distance in Å.
Element x y z (fractional)
Zn 0.7500 0.7500 0.7500  4 Pd 2.96, 4 Au 2.96
Au 0.0000 0.0000 0.0000  4 Zn 2.96, 4 Pu 2.96
Pd 0.5000 0.5000 0.5000  4 Pu 2.96, 4 Zn 2.96
Pu 0.2500 0.2500 0.2500  4 Pd 2.96, 4 Au 2.96